1.
# Tm4PaC4

A relaxed Tm4PaC4 crystal (PBE, Alexandria).

Formation enthalpy at 0 K, eV per atom: -0.38
Magnetic moment, μB per cell: 2.0

CIF file:
```
data_Tm4PaC4
_chemical_formula_sum 'Tm8 Pa2 C8'
_cell_length_a 11.827
_cell_length_b 3.593
_cell_length_c 8.760
_cell_angle_alpha 90.00
_cell_angle_beta 119.70
_cell_angle_gamma 90.00
_space_group_name_H-M_alt 'C 1 2/m 1'
_space_group_IT_number 12
_space_group_name_Hall '-C 2y'
loop_
_atom_site_label
_atom_site_fract_x
_atom_site_fract_y
_atom_site_fract_z
_atom_site_occupancy
Tm1 0.113 0.000 0.391 1
Tm2 0.204 0.500 0.810 1
Pa1 0.000 0.500 0.000 1
C1 0.093 0.000 0.901 1
C2 0.200 0.500 0.297 1
```

---

2.
# Sr6CdHg

A relaxed Sr6CdHg crystal (PBE, Alexandria).

Formation enthalpy at 0 K, eV per atom: -0.22
Magnetic moment, μB per cell: 0.0

CIF file:
```
data_Sr6CdHg
_chemical_formula_sum 'Sr12 Cd2 Hg2'
_cell_length_a 5.815
_cell_length_b 5.815
_cell_length_c 20.602
_cell_angle_alpha 90.00
_cell_angle_beta 90.00
_cell_angle_gamma 90.00
_space_group_name_H-M_alt 'I 4/m m m'
_space_group_IT_number 139
_space_group_name_Hall '-I 4 2'
loop_
_atom_site_label
_atom_site_fract_x
_atom_site_fract_y
_atom_site_fract_z
_atom_site_occupancy
Sr1 0.000 0.000 0.249 1
Sr2 0.000 0.500 0.094 1
Cd1 0.000 0.000 0.000 1
Hg1 0.000 0.000 0.500 1
```

---

> Which of these has the highest formation enthalpy at 0 K?

Sr6CdHg